Record 1
# Zn2BiBr6 | Alexandria via LeMat-Bulk | PBE | optimized geometry
# E: -2.514 eV/atom
# Total magnetization: 0.0 μB/f.u.
# N(E_F): 2.09 states/eV/f.u.
data_Zn2BiBr6
_chemical_formula_sum 'Zn4 Bi2 Br12'
_cell_length_a 7.510
_cell_length_b 9.198
_cell_length_c 9.198
_cell_angle_alpha 85.00
_cell_angle_beta 84.42
_cell_angle_gamma 84.42
_symmetry_space_group_name_H-M 'P 1'
_symmetry_Int_Tables_number 1
_symmetry_space_group_name_Hall 'P 1'
loop_
_atom_site_label
_atom_site_fract_x
_atom_site_fract_y
_atom_site_fract_z
_atom_site_occupancy
Bi1 0.250 0.127 0.873 1
Bi2 0.750 0.873 0.127 1
Br1 0.392 0.407 0.859 1
Br2 0.929 0.553 0.717 1
Br3 0.571 0.283 0.447 1
Br4 0.071 0.447 0.283 1
Br5 0.675 0.941 0.818 1
Br6 0.892 0.859 0.407 1
Br7 0.825 0.182 0.059 1
Br8 0.175 0.818 0.941 1
Br9 0.429 0.717 0.553 1
Br10 0.608 0.593 0.141 1
Br11 0.108 0.141 0.593 1
Br12 0.325 0.059 0.182 1
Zn1 0.777 0.369 0.238 1
Zn2 0.723 0.762 0.631 1
Zn3 0.277 0.238 0.369 1
Zn4 0.223 0.631 0.762 1

Record 2
# ZnBi2Br | Alexandria via LeMat-Bulk | PBE | optimized geometry
# E: -2.633 eV/atom
# Energy above the most stable polymorph in this dataset: 0.000 eV/atom
# Total magnetization: 0.0 μB/f.u.
# N(E_F): 1.60 states/eV/f.u.
data_ZnBi2Br
_chemical_formula_sum 'Zn2 Bi4 Br2'
_cell_length_a 4.692
_cell_length_b 4.692
_cell_length_c 11.746
_cell_angle_alpha 78.48
_cell_angle_beta 78.48
_cell_angle_gamma 90.00
_symmetry_space_group_name_H-M 'P 1'
_symmetry_Int_Tables_number 1
_symmetry_space_group_name_Hall 'P 1'
loop_
_atom_site_label
_atom_site_fract_x
_atom_site_fract_y
_atom_site_fract_z
_atom_site_occupancy
Bi1 0.875 0.832 0.750 1
Bi2 0.582 0.125 0.250 1
Bi3 0.375 0.418 0.750 1
Bi4 0.168 0.625 0.250 1
Br1 0.750 0.250 0.500 1
Br2 0.000 0.000 0.000 1
Zn1 0.250 0.750 0.500 1
Zn2 0.500 0.500 0.000 1

Record 3
# ZnBi3Br | Alexandria via LeMat-Bulk | PBE | optimized geometry
# E: -2.537 eV/atom
# Energy above the most stable polymorph in this dataset: 0.000 eV/atom
# Total magnetization: 0.0 μB/f.u.
# N(E_F): 4.34 states/eV/f.u.
data_ZnBi3Br
_chemical_formula_sum 'Zn1 Bi3 Br1'
_cell_length_a 5.477
_cell_length_b 5.477
_cell_length_c 5.477
_cell_angle_alpha 90.00
_cell_angle_beta 90.00
_cell_angle_gamma 90.00
_symmetry_space_group_name_H-M 'P 1'
_symmetry_Int_Tables_number 1
_symmetry_space_group_name_Hall 'P 1'
loop_
_atom_site_label
_atom_site_fract_x
_atom_site_fract_y
_atom_site_fract_z
_atom_site_occupancy
Br1 0.500 0.500 0.500 1
Bi1 0.000 0.500 0.000 1
Bi2 0.000 0.000 0.500 1
Bi3 0.500 0.000 0.000 1
Zn1 0.000 0.000 0.000 1